Density functional theory data (PBE-GGA) for a geometry-optimized HfHPb3 structure.

## Properties
* crystal system: cubic
* offset from the most stable computed form: 209 kJ/mol of formula units
* raw total energy: -4.08 eV/atom
* mass density: 7.33 g cm⁻³
* DOS(E_F): 0.5221 states/eV per atom

The structure in CIF format:
```
data_HfHPb3
_chemical_formula_sum 'Hf1 H1 Pb3'
_space_group_name_H-M_alt 'P m -3 m'
_space_group_IT_number 221
_space_group_name_Hall '-P 4 2 3'
_cell_length_a 5.6615
_cell_length_b 5.6615
_cell_length_c 5.6615
_cell_angle_alpha 90.00
_cell_angle_beta 90.00
_cell_angle_gamma 90.00
loop_
_atom_site_label
_atom_site_type_symbol
_atom_site_fract_x
_atom_site_fract_y
_atom_site_fract_z
Hf1 Hf 0.0000 0.0000 0.0000
H1 H 0.5000 0.5000 0.5000
Pb1 Pb 0.0000 0.0000 0.5000
```

---

Density functional theory data (PBE-GGA) for a geometry-optimized Cs2LiIn2S4 structure.

## Properties
* crystal system: monoclinic
* energy relative to the elements, uncorrected: -0.854 eV/atom
* raw total energy: -3.70 eV/atom
* mass density: 4.04 g cm⁻³
* DOS(E_F): 0.2055 states/eV per atom

The structure in CIF format:
```
data_Cs2LiIn2S4
_chemical_formula_sum 'Cs4 Li2 In4 S8'
_space_group_name_H-M_alt 'C 1 2/m 1'
_space_group_IT_number 12
_space_group_name_Hall '-C 2y'
_cell_length_a 14.5954
_cell_length_b 4.7960
_cell_length_c 7.6387
_cell_angle_alpha 90.00
_cell_angle_beta 104.30
_cell_angle_gamma 90.00
loop_
_atom_site_label
_atom_site_type_symbol
_atom_site_fract_x
_atom_site_fract_y
_atom_site_fract_z
Cs1 Cs 0.1330 0.0000 0.0733
Li1 Li 0.0000 0.0000 0.5000
In1 In 0.1380 0.5000 0.5424
S1 S 0.0001 0.5000 0.2689
S2 S 0.1937 0.0000 0.6429
```

---

Density functional theory data (PBE-GGA) for a geometry-optimized TcP2Os structure.

## Properties
* ΔH_f (0 K): -0.0399 eV per atom
* crystal system: tetragonal
* offset from the most stable computed form: 102 kJ/mol of formula units
* raw total energy: -8.14 eV/atom
* mass density: 9.30 g cm⁻³
* DOS(E_F): 0.5461 states/eV per atom

The structure in CIF format:
```
data_TcP2Os
_chemical_formula_sum 'Tc1 P2 Os1'
_space_group_name_H-M_alt 'P 4 m m'
_space_group_IT_number 99
_space_group_name_Hall 'P 4 -2'
_cell_length_a 2.8584
_cell_length_b 2.8584
_cell_length_c 7.6508
_cell_angle_alpha 90.00
_cell_angle_beta 90.00
_cell_angle_gamma 90.00
loop_
_atom_site_label
_atom_site_type_symbol
_atom_site_fract_x
_atom_site_fract_y
_atom_site_fract_z
Tc1 Tc 0.0000 0.0000 0.0000
P1 P 0.0000 0.0000 0.4385
P2 P 0.5000 0.5000 0.8166
Os1 Os 0.5000 0.5000 0.2548
```

---

Density functional theory data (PBE-GGA) for a geometry-optimized K2SnSe structure.

## Properties
* crystal system: cubic
* offset from the most stable computed form: 46 kJ/mol of formula units
* energy relative to the elements, uncorrected: -0.225 eV/atom
* raw total energy: -2.65 eV/atom
* mass density: 3.38 g cm⁻³
* DOS(E_F): 0.8535 states/eV per atom

The structure in CIF format:
```
data_K2SnSe
_chemical_formula_sum 'K8 Sn4 Se4'
_space_group_name_H-M_alt 'F m -3 m'
_space_group_IT_number 225
_space_group_name_Hall '-F 4 2 3'
_cell_length_a 8.1556
_cell_length_b 8.1556
_cell_length_c 8.1556
_cell_angle_alpha 90.00
_cell_angle_beta 90.00
_cell_angle_gamma 90.00
loop_
_atom_site_label
_atom_site_type_symbol
_atom_site_fract_x
_atom_site_fract_y
_atom_site_fract_z
K1 K 0.2500 0.2500 0.2500
Sn1 Sn 0.0000 0.0000 0.0000
Se1 Se 0.0000 0.0000 0.5000
```